The following is a DFT calculation (GGA-PBE) of a relaxed structure of FeCuSeBr2.

It has space group P4/mmm (No. 123), with a = 5.120 Å, b = 5.120 Å, c = 4.385 Å, α = 90.00°, β = 90.00° and γ = 90.00°. The inequivalent atoms are Fe at (0.000, 0.000, 0.000), Cu at (0.500, 0.500, 0.500), Se at (0.000, 0.000, 0.500) and Br at (0.000, 0.500, 0.000).

The density of states at the Fermi level comes out at 5.8 states/eV per cell. The magnetic moment comes out at 0.0 μB per cell. The value obtained for the calculated volume is 115 Å³ per cell. Its energy relative to the elements, uncorrected is 43.9 kJ/mol of atoms.